This record from the Alexandria database describes a relaxed structure of Hf4VFe. The functional is PBE-GGA.

energy: -114.410 eV for the cell shown
formation enthalpy at 0 K: 0.032 eV per atom
D(E_F): 16.0 states/eV/cell

Cell lengths 5.423, 7.524, 7.119 Å; angles 114.84, 103.33, 106.53 degrees
Site moments in Bohr magnetons follow the coordinates.
Element x y z (fractional)
Hf 0.226 0.296 0.358  -0.01
Hf 0.957 0.791 0.154  -0.01
Hf 0.303 0.636 0.846  -0.01
Hf 0.774 0.704 0.642  -0.01
Hf 0.633 0.063 0.358  -0.01
Hf 0.367 0.937 0.642  -0.01
Hf 0.043 0.209 0.846  -0.01
Hf 0.697 0.364 0.154  -0.01
Fe 0.247 0.997 0.994  0.05
Fe 0.753 0.003 0.006  0.05
V 0.631 0.381 0.761  0.17
V 0.369 0.619 0.239  0.17